1.
DFT (PBE) results for La2ReW after structural relaxation.

- excess energy over the best structure of this formula in the dataset (eV/atom) = 0.332
- symmetry = Cmm2, No. 35
- density (g/cm³) = 11.75
- VASP energy (eV/atom) = -8.283

abc: 3.0440 3.0440 10.7747
angles: 90.00 90.00 113.45
Last column: nearest neighbours and their distance in Å.
Element x y z (fractional)
La 0.0000 0.0000 0.0000  2 Re 3.02, 6 La 3.04-3.34
La 0.5000 0.5000 0.3450  6 La 3.04-3.34, 2 W 3.11
Re 0.5000 0.5000 0.7665  2 W 2.55
W 0.0000 0.0000 0.5883  2 Re 2.55


2.
DFT (PBE) results for Pr2GeSb3Rh4 after structural relaxation.

- symmetry = P-4m2, No. 115
- density (g/cm³) = 8.95
- formation energy from raw total energies (meV per atom) = -829.5
- VASP energy (eV/atom) = -6.424

abc: 4.4632 4.4632 10.5400
angles: 90.00 90.00 90.00
Last column: nearest neighbours and their distance in Å.
Element x y z (fractional)
Pr 0.0000 0.5000 0.2422  2 Ge 3.39, 6 Sb 3.39-3.41, 8 Rh 3.41-3.52
Pr 0.5000 0.0000 0.7578  2 Ge 3.39, 6 Sb 3.39-3.41, 8 Rh 3.41-3.52
Ge 0.5000 0.5000 0.0000  4 Rh 2.56
Sb 0.0000 0.0000 0.0000  4 Rh 2.56
Sb 0.0000 0.5000 0.6359  5 Rh 2.58-2.65
Sb 0.5000 0.0000 0.3641  5 Rh 2.58-2.65
Rh 0.0000 0.0000 0.5000  4 Sb 2.65
Rh 0.0000 0.5000 0.8808  2 Ge 2.56, 3 Sb 2.56-2.58
Rh 0.5000 0.0000 0.1192  2 Ge 2.56, 3 Sb 2.56-2.58
Rh 0.5000 0.5000 0.5000  4 Sb 2.65